# LaGdPtAu

Crystalline LaGdPtAu at its relaxed geometry (GGA-PBE, the Alexandria database).

Values from the calculation:
- size of the total moment (μB per formula unit) = 7.15
- space group = F-43m
- crystal system = cubic
- energy relative to the elements (meV per atom) = -947

a b c (Å): 5.1671 5.1671 5.1671
angles (deg): 60.00 60.00 60.00
Last column: nearest neighbours and their distance in Å.
Positions (direct):
Pt1 0.7500 0.7500 0.7500  4 La 3.16, 4 Gd 3.16
Au1 0.2500 0.2500 0.2500  4 Gd 3.16, 4 La 3.16
La1 0.5000 0.5000 0.5000  4 Pt 3.16, 4 Au 3.16
Gd1 0.0000 0.0000 0.0000  4 Pt 3.16, 4 Au 3.16

# LaGdSiAu

Crystalline LaGdSiAu at its relaxed geometry (GGA-PBE, the Alexandria database).

Values from the calculation:
- electronic total energy (eV/atom) = -7.5876
- size of the total moment (μB per formula unit) = 7.82
- space group = F-43m
- crystal system = cubic

a b c (Å): 5.2063 5.2063 5.2063
angles (deg): 60.00 60.00 60.00
Last column: nearest neighbours and their distance in Å.
Positions (direct):
La1 0.5000 0.5000 0.5000  4 Au 3.19, 4 Si 3.19
Au1 0.2500 0.2500 0.2500  4 Gd 3.19, 4 La 3.19
Gd1 0.0000 0.0000 0.0000  4 Si 3.19, 4 Au 3.19
Si1 0.7500 0.7500 0.7500  4 La 3.19, 4 Gd 3.19

# LaGdTlAu

Crystalline LaGdTlAu at its relaxed geometry (GGA-PBE, the Alexandria database).

Values from the calculation:
- size of the total moment (μB per formula unit) = 7.54
- space group = F-43m
- crystal system = cubic
- energy relative to the elements (meV per atom) = -558

a b c (Å): 5.3998 5.3998 5.3998
angles (deg): 60.00 60.00 60.00
Last column: nearest neighbours and their distance in Å.
Positions (direct):
La1 0.2500 0.2500 0.2500  4 Au 3.31, 4 Tl 3.31
Gd1 0.7500 0.7500 0.7500  4 Tl 3.31, 4 Au 3.31
Au1 0.0000 0.0000 0.0000  4 Gd 3.31, 4 La 3.31
Tl1 0.5000 0.5000 0.5000  4 Gd 3.31, 4 La 3.31